Computed, not measured: crystalline SrSmCr2O8 at its relaxed geometry at the PBE+U level of DFT.

Lattice parameters (Å, degrees): 6.1813 6.1813 6.1813 105.93 105.93 116.81
With the nearest neighbours (Å) after each atom.
Element x y z (fractional)
O 0.8463 0.6585 0.1879  1 Cr 1.74
O 0.9118 0.2387 0.3269  1 Cr 1.66
Sr 0.0000 0.0000 0.0000  8 O 2.50-2.62
O 0.4151 0.0882 0.3269  1 Cr 1.66
Cr 0.5000 0.5000 0.0000  4 O 1.74
O 0.3415 0.5294 0.1879  1 Cr 1.74
O 0.7613 0.0882 0.6731  1 Cr 1.66
O 0.3415 0.1537 0.8121  1 Cr 1.74
O 0.4706 0.6585 0.8121  1 Cr 1.74
Cr 0.7500 0.2500 0.5000  4 O 1.66
O 0.9118 0.5849 0.6731  1 Cr 1.66
Sm 0.2500 0.7500 0.5000  8 O 2.40-2.54

Properties
E = -86.58 eV for the cell shown
total magnetization = 1.00 μB/f.u.